No. 1
Computed, not measured: a relaxed structure of Cs2TbSe2O6 at the PBE-GGA level of DFT.

It has space group C2/m (No. 12), with a = 10.132 Å, b = 6.350 Å, c = 7.651 Å, α = 90.00°, β = 111.47° and γ = 90.00°. The inequivalent atoms are Cs at (0.211, 0.000, 0.155), Tb at (0.000, 0.000, 0.500), Se at (0.082, 0.500, 0.247), O at (0.004, 0.252, 0.285) and O at (0.244, 0.000, 0.591).

The density comes out at 4.919 Mg/m³. For the total magnetic moment, the calculation gives 0.00 μB/f.u. Its raw formation energy is -150.8 kJ/mol of atoms. The crystal system is monoclinic.

=====

No. 2
Computed, not measured: a relaxed structure of Ga2OsPt at the PBE-GGA level of DFT.

It has space group I-42d (No. 122), with a = 3.975 Å, b = 3.975 Å, c = 17.134 Å, α = 90.00°, β = 90.00° and γ = 90.00°. The inequivalent atoms are Ga at (0.235, 0.250, 0.125), Os at (0.000, 0.000, 0.000) and Pt at (0.000, 0.000, 0.500).

The density comes out at 12.876 Mg/m³. For the total magnetic moment, the calculation gives 0.98 μB/f.u. Its distance to the lowest polymorph of the same formula is 44.74 kJ per mole of atoms. The crystal system is tetragonal.

=====

No. 3
Computed, not measured: a relaxed structure of La2ReW at the PBE-GGA level of DFT.

It has space group Pmmm (No. 47), with a = 3.304 Å, b = 5.030 Å, c = 5.122 Å, α = 90.00°, β = 90.00° and γ = 90.00°. The inequivalent atoms are La at (0.000, 0.000, 0.000), La at (0.500, 0.500, 0.000), Re at (0.000, 0.500, 0.500) and W at (0.500, 0.000, 0.500).

The density comes out at 12.639 Mg/m³. For the total magnetic moment, the calculation gives 0.07 μB/f.u. Its distance to the lowest polymorph of the same formula is 64.51 kJ per mole of atoms. The crystal system is orthorhombic.

=====

No. 4
Computed, not measured: a relaxed structure of Zr2FeIr at the PBE-GGA level of DFT.

It has space group I-42d (No. 122), with a = 4.254 Å, b = 4.254 Å, c = 17.203 Å, α = 90.00°, β = 90.00° and γ = 90.00°. The inequivalent atoms are Zr at (0.241, 0.250, 0.125), Fe at (0.000, 0.000, 0.000) and Ir at (0.000, 0.000, 0.500).

The density comes out at 9.187 Mg/m³. For the total magnetic moment, the calculation gives 0.00 μB/f.u. The value obtained for the electronic total energy is -8.1285 eV/atom. The crystal system is tetragonal.